# 1
Entry from Alexandria: Na2TbBO4 after structural relaxation (GGA-PBE).

Output
Crystal system   orthorhombic
Total magnetic moment   0.0 Bohr magnetons per cell
Uncorrected energy   -6.115 eV per atom
Formation energy from raw total energies   -182.6 kJ per mole of atoms

Cell: 5.124 10.780 23.709 Å, 90.00 90.00 90.00°
Space group Fddd (No. 70, origin choice 2)
Asymmetric unit:
Na: 0.125 0.125 0.333 (multiplicity 16)
Tb: 0.125 0.125 0.125 (multiplicity 8)
B: 0.125 0.125 0.625 (multiplicity 8)
O: 0.042 0.286 0.840 (multiplicity 32)

# 2
Entry from Alexandria: Ho5Ni4Ru after structural relaxation (GGA-PBE).

Output
Formation energy   -0.424 eV/atom
Crystal system   tetragonal
Total magnetic moment   0.0 Bohr magnetons per cell
Uncorrected energy   -5.953 eV per atom

Cell: 3.365 3.365 16.844 Å, 90.00 90.00 90.00°
Space group P4/mmm (No. 123)
Asymmetric unit:
Ho: 0.000 0.000 0.000 (multiplicity 1)
Ho: 0.000 0.000 0.199 (multiplicity 2)
Ho: 0.000 0.000 0.400 (multiplicity 2)
Ni: 0.500 0.500 0.100 (multiplicity 2)
Ni: 0.500 0.500 0.298 (multiplicity 2)
Ru: 0.500 0.500 0.500 (multiplicity 1)